1.
Material: SrCa3Mg2
Method: DFT, PBE
State: optimized geometry

Cell and atoms, written as POSCAR:
```
SrCa3Mg2
1.0
5.901 0.000 0.000
-2.950 5.110 0.000
0.000 0.000 14.710
Sr Ca Mg
2 6 4
Cartesian
0.000 0.000 3.677
0.000 0.000 11.032
0.000 0.000 0.000
0.000 0.000 7.355
0.000 3.407 1.473
0.000 3.407 5.882
2.950 1.703 8.828
2.950 1.703 13.237
0.000 3.407 9.386
0.000 3.407 12.678
2.950 1.703 2.032
2.950 1.703 5.323
```

## Properties
**SG**: P6_3/mmc
**E**: -1.819 eV/atom
**Energy of formation**: -0.0068 eV per atom
**M_tot**: 0.000 μB per atom
**Distance to the lowest polymorph of the same formula**: 0.23 eV per formula unit

2.
Material: SrZrScPt2
Method: DFT, PBE
State: optimized geometry

Cell and atoms, written as POSCAR:
```
SrZrScPt2
1.0
-2.311 2.311 5.601
2.311 -2.311 5.601
2.311 2.311 -5.601
Sr Zr Sc Pt
1 1 1 2
Cartesian
0.000 0.000 0.000
0.000 2.311 2.800
2.311 0.000 2.800
0.000 0.000 4.242
0.000 0.000 6.959
```

## Properties
**SG**: I-4m2
**E**: -6.636 eV/atom
**Energy of formation**: -0.9069 eV per atom
**M_tot**: 0.000 μB per atom

3.
Material: HoSiN2
Method: DFT, PBE
State: optimized geometry

Cell and atoms, written as POSCAR:
```
HoSiN2
1.0
1.793 1.035 5.634
-1.793 1.035 5.634
0.000 -2.071 5.634
Ho Si N
1 1 2
Cartesian
0.000 0.000 0.000
0.000 0.000 8.451
0.000 0.000 6.798
0.000 0.000 10.105
```

## Properties
**SG**: R-3m
**E**: -7.479 eV/atom
**E_form (uncorrected)**: -0.816 eV per atom
**M_tot**: 0.000 μB per atom

4.
Material: PrYPa
Method: DFT, PBE
State: optimized geometry

Cell and atoms, written as POSCAR:
```
PrYPa
1.0
-2.830 3.378 4.883
2.830 -3.378 4.883
2.830 3.378 -4.883
Pr Y Pa
2 2 2
Cartesian
0.000 0.000 1.583
0.000 0.000 8.184
2.830 0.000 3.233
0.000 3.378 1.651
2.830 2.037 0.000
0.000 1.341 4.883
```

## Properties
**SG**: Immm
**E**: -6.647 eV/atom
**Energy of formation**: 0.2665 eV per atom
**M_tot**: 0.000 μB per atom
**Distance to the lowest polymorph of the same formula**: 0.28 eV per formula unit